(1)
Density functional theory data (PBE) for ReH after structural relaxation.

Cell: 5.0910 5.0910 5.0910 Å, 90.00 90.00 90.00°
Last column: nearest neighbours and their distance in Å.
Sites, in units of the cell vectors:
Re 0.5000 0.0000 0.7500  4 H 1.80
H 0.5000 0.2500 0.0000  4 Re 1.80
Re 0.7500 0.5000 0.0000  4 H 1.80
Re 0.5000 0.0000 0.2500  4 H 1.80
Re 0.0000 0.7500 0.5000  4 H 1.80
Re 0.0000 0.2500 0.5000  4 H 1.80
H 0.7500 0.0000 0.5000  4 Re 1.80
H 0.0000 0.5000 0.2500  4 Re 1.80
H 0.5000 0.7500 0.0000  4 Re 1.80
H 0.0000 0.5000 0.7500  4 Re 1.80
Re 0.2500 0.5000 0.0000  4 H 1.80
H 0.2500 0.0000 0.5000  4 Re 1.80

Its symmetry is Pm-3n (223). For the distance to the lowest polymorph of the same formula, the calculation gives 765 meV/atom.


(2)
Density functional theory data (PBE) for Re3H after structural relaxation.

Cell: 4.2286 4.2286 4.2286 Å, 60.00 60.00 60.00°
Last column: nearest neighbours and their distance in Å.
Sites, in units of the cell vectors:
Re 0.5000 0.5000 0.5000  8 Re 2.59
Re 0.2500 0.2500 0.2500  4 H 2.59, 4 Re 2.59
Re 0.7500 0.7500 0.7500  4 H 2.59, 4 Re 2.59
H 0.0000 0.0000 0.0000  8 Re 2.59

Its symmetry is Fm-3m (225). For the distance to the lowest polymorph of the same formula, the calculation gives 475 meV/atom.


(3)
Density functional theory data (PBE) for ReH after structural relaxation.

Cell: 5.4533 5.4533 5.4533 Å, 90.00 90.00 90.00°
Last column: nearest neighbours and their distance in Å.
Sites, in units of the cell vectors:
Re 0.8077 0.8077 0.8077  4 H 1.70-1.81
H 0.3724 0.6276 0.3724  4 Re 1.70-1.81
H 0.8724 0.1276 0.8724  4 Re 1.70-1.81
Re 0.1923 0.8077 0.1923  4 H 1.70-1.81
Re 0.3077 0.6923 0.6923  4 H 1.70-1.81
H 0.3724 0.3724 0.6276  4 Re 1.70-1.81
Re 0.3077 0.3077 0.3077  4 H 1.70-1.81
Re 0.8077 0.1923 0.1923  4 H 1.70-1.81
H 0.6276 0.3724 0.3724  4 Re 1.70-1.81
Re 0.6923 0.6923 0.3077  4 H 1.70-1.81
Re 0.6923 0.3077 0.6923  4 H 1.70-1.81
Re 0.1923 0.1923 0.8077  4 H 1.70-1.81
H 0.1276 0.1276 0.1276  4 Re 1.70-1.81
H 0.1276 0.8724 0.8724  4 Re 1.70-1.81
H 0.8724 0.8724 0.1276  4 Re 1.70-1.81
H 0.6276 0.6276 0.6276  4 Re 1.70-1.81

Its symmetry is I-43m (217). For the distance to the lowest polymorph of the same formula, the calculation gives 658 meV/atom.


(4)
Density functional theory data (PBE) for ReH after structural relaxation.

Cell: 4.1575 4.1575 4.1575 Å, 90.00 90.00 90.00°
Last column: nearest neighbours and their distance in Å.
Sites, in units of the cell vectors:
H 0.2500 0.2500 0.2500  4 Re 1.80
Re 0.0000 0.5000 0.5000  4 H 1.80
H 0.2500 0.7500 0.7500  4 Re 1.80
H 0.7500 0.7500 0.2500  4 Re 1.80
Re 0.0000 0.0000 0.0000  4 H 1.80
H 0.7500 0.2500 0.7500  4 Re 1.80
Re 0.5000 0.5000 0.0000  4 H 1.80
Re 0.5000 0.0000 0.5000  4 H 1.80

Its symmetry is F-43m (216). For the distance to the lowest polymorph of the same formula, the calculation gives 185 meV/atom.


(5)
Density functional theory data (PBE) for Re8H after structural relaxation.

Cell: 5.5954 5.5954 4.4919 Å, 90.00 90.00 120.00°
Last column: nearest neighbours and their distance in Å.
Sites, in units of the cell vectors:
Re 0.9948 0.9974 0.9910  1 H 2.01
Re 0.1640 0.8281 0.5090  1 H 2.01
H 0.3333 0.1667 0.2500  6 Re 2.01
Re 0.0000 0.5000 0.9955  12 Re 2.70-2.80
Re 0.5026 0.5052 0.9910  1 H 2.01
Re 0.5026 0.9974 0.9910  1 H 2.01
Re 0.6667 0.8333 0.5045  12 Re 2.70-2.80
Re 0.1640 0.3360 0.5090  1 H 2.01
Re 0.6719 0.3360 0.5090  1 H 2.01

The energy comes out at -11.4373 eV per atom. Its symmetry is P-3m1 (164).


(6)
Density functional theory data (PBE) for ReH4 after structural relaxation.

Cell: 3.4067 3.4067 3.4067 Å, 90.00 90.00 90.00°
Last column: nearest neighbours and their distance in Å.
Sites, in units of the cell vectors:
H 0.0000 0.0000 0.0000  12 H 2.41
H 0.0000 0.5000 0.5000  2 Re 1.70
H 0.5000 0.0000 0.5000  2 Re 1.70
H 0.5000 0.5000 0.0000  2 Re 1.70
Re 0.5000 0.5000 0.5000  6 H 1.70

The energy comes out at -4.1565 eV per atom. Its symmetry is Pm-3m (221).


(7)
Density functional theory data (PBE) for ReH after structural relaxation.

Cell: 2.8217 3.9395 10.4685 Å, 90.00 90.00 90.00°
Last column: nearest neighbours and their distance in Å.
Sites, in units of the cell vectors:
Re 0.5000 0.0296 0.6414  3 H 1.80-1.94
H 0.5000 0.2872 0.8164  4 Re 1.94-2.09
H 0.5000 0.2872 0.1836  4 Re 1.94-2.09
H 0.0000 0.7090 0.0000  4 Re 1.80-1.81
Re 0.5000 0.0296 0.3586  3 H 1.80-1.94
H 0.5000 0.2910 0.5000  4 Re 1.80-1.81
Re 0.0000 0.9704 0.8586  3 H 1.80-1.94
H 0.0000 0.7128 0.3164  4 Re 1.94-2.09
Re 0.0000 0.5808 0.5000  4 H 1.81-1.99
Re 0.5000 0.4192 0.0000  4 H 1.81-1.99
Re 0.0000 0.9704 0.1414  3 H 1.80-1.94
H 0.0000 0.7128 0.6836  4 Re 1.94-2.09

Its symmetry is Pmmn (59). For the distance to the lowest polymorph of the same formula, the calculation gives 221 meV/atom.


(8)
Density functional theory data (PBE) for ReH after structural relaxation.

Cell: 7.0062 7.0061 2.7959 Å, 90.00 90.00 120.00°
Last column: nearest neighbours and their distance in Å.
Sites, in units of the cell vectors:
Re 0.0144 0.6813 0.7500  4 H 1.93-2.00
Re 0.6669 0.9856 0.7500  4 H 1.93-2.00
H 0.8292 0.4865 0.2500  2 H 1.92, 4 Re 1.93-2.00
H 0.3427 0.8292 0.7500  2 H 1.92, 4 Re 1.93-2.00
H 0.1708 0.5135 0.7500  2 H 1.92, 4 Re 1.93-2.00
Re 0.6813 0.6669 0.2500  4 H 1.93-2.00
H 0.5135 0.3427 0.2500  2 H 1.92, 4 Re 1.93-2.00
H 0.6573 0.1708 0.2500  2 H 1.92, 4 Re 1.93-2.00
Re 0.3331 0.0144 0.2500  4 H 1.93-2.00
Re 0.3187 0.3331 0.7500  4 H 1.93-2.00
H 0.4865 0.6573 0.7500  2 H 1.92, 4 Re 1.93-2.00
Re 0.9856 0.3187 0.2500  4 H 1.93-2.00

Its symmetry is P6_3/m (176). For the distance to the lowest polymorph of the same formula, the calculation gives 160 meV/atom.


Summary of DOS(E_F) in states/eV/f.u.
1.57; 4.36; 1.31; 1.97; 4.42; 1.42; 1.40; 1.07
(order as listed above)